No. 1
The following is a DFT calculation (PBEsol) of a relaxed LaTl2As crystal.

## Properties
Relative energy among the computed polymorphs: 0.056 eV/atom
Symmetry: P4mm, No. 99
Calculated formation energy: -0.50 eV per atom
E: -17.7 eV/f.u.
Size of the total moment: 0.0 Bohr magnetons per cell

abc: 4.0639 4.0639 6.9541
angles: 90.00 90.00 90.00
Last column: nearest neighbours and their distance in Å.
Sites, in units of the cell vectors:
As 0.0000 0.0000 0.5739  1 Tl 2.97, 4 La 3.00
La 0.5000 0.5000 0.6954  4 As 3.00, 1 Tl 3.24
Tl 0.5000 0.5000 0.2299  1 La 3.24, 4 Tl 3.29
Tl 0.0000 0.0000 0.0008  1 As 2.97, 4 Tl 3.29


No. 2
The following is a DFT calculation (PBEsol) of a relaxed LaTl2As crystal.

## Properties
Relative energy among the computed polymorphs: 0.061 eV/atom
Symmetry: Cm, No. 8
Calculated formation energy: -0.49 eV per atom
E: -17.7 eV/f.u.
Size of the total moment: 0.0 Bohr magnetons per cell

abc: 4.1733 5.3085 5.6930
angles: 110.27 111.50 90.00
Last column: nearest neighbours and their distance in Å.
Sites, in units of the cell vectors:
As 0.4920 0.6090 0.9839  4 Tl 2.92-3.14, 3 La 3.04-3.09
La 0.2139 0.6512 0.4278  3 As 3.04-3.09, 4 Tl 3.31-3.37
Tl 0.0080 0.0050 0.0160  2 As 2.92, 1 Tl 3.02
Tl 0.7862 0.2348 0.5723  1 Tl 3.02, 2 As 3.14, 2 La 3.33


No. 3
The following is a DFT calculation (PBEsol) of a relaxed LaTlAs2 crystal.

## Properties
Symmetry: Fm-3m, No. 225
Calculated formation energy: -0.47 eV per atom
E: -20.1 eV/f.u.
Size of the total moment: 0.0 Bohr magnetons per cell

abc: 5.1543 5.1543 5.1543
angles: 60.00 60.00 60.00
Last column: nearest neighbours and their distance in Å.
Sites, in units of the cell vectors:
Tl 0.5000 0.5000 0.5000  8 As 3.16
As 0.7500 0.7500 0.7500  4 Tl 3.16, 4 La 3.16
As 0.2500 0.2500 0.2500  4 Tl 3.16, 4 La 3.16
La 0.0000 0.0000 0.0000  8 As 3.16


No. 4
The following is a DFT calculation (PBEsol) of a relaxed LaTl2As crystal.

## Properties
Relative energy among the computed polymorphs: 0.000 eV/atom
Symmetry: Immm, No. 71
Calculated formation energy: -0.55 eV per atom
E: -17.9 eV/f.u.
Size of the total moment: 0.0 Bohr magnetons per cell

abc: 4.0349 4.6187 6.4287
angles: 111.05 108.29 90.00
Last column: nearest neighbours and their distance in Å.
Sites, in units of the cell vectors:
As 0.5000 0.0000 0.0000  4 La 3.07, 4 Tl 3.25
La 0.0000 0.5000 0.0000  4 As 3.07
Tl 0.2257 0.2257 0.4514  4 Tl 3.12, 2 As 3.25, 2 La 3.44
Tl 0.7743 0.7743 0.5486  4 Tl 3.12, 2 As 3.25, 2 La 3.44